## BaPm2CuO5 (PBE-GGA)

Data for a relaxed structure of BaPm2CuO5.

Cell and atoms, written as extended XYZ:
```
18
Lattice="6.730 0.000 0.000 0.000 6.730 0.000 -3.365 -3.365 5.853" Properties=species:S:1:pos:R:3 pbc="T T T"
Ba 0.000 0.000 2.926
Ba 3.365 3.365 2.926
Pm 1.161 2.204 0.000
Pm 4.525 1.161 0.000
Pm 2.204 5.569 0.000
Pm 5.569 4.525 0.000
Cu 0.000 3.365 2.926
Cu 3.365 0.000 2.926
O 5.778 2.413 1.492
O 2.413 -0.952 4.361
O -2.413 0.952 4.361
O -0.952 -2.413 4.361
O 0.952 2.413 4.361
O 4.317 5.778 1.492
O 2.413 0.952 1.492
O 0.952 4.317 1.492
O 3.365 3.365 0.000
O 0.000 0.000 0.000
```

Values from the calculation:
**Size of the total moment**: 1.02 μB per formula unit
**Formation energy from raw total energies**: -2551 meV per atom

## YZrS2 (PBE-GGA)

Data for a relaxed structure of YZrS2.

Cell and atoms, written as extended XYZ:
```
4
Lattice="4.092 -2.510 7.290 3.317 -5.716 5.702 6.288 -3.839 4.680" Properties=species:S:1:pos:R:3 pbc="T T T"
Y 0.000 0.000 0.000
S 12.241 -10.783 15.793
S 1.456 -1.283 1.879
Zr 6.848 -6.033 8.836
```

Values from the calculation:
**Size of the total moment**: 0.00 μB per formula unit
**Formation energy from raw total energies**: -1274 meV per atom

## Tl2InBiF (PBE-GGA)

Data for a relaxed structure of Tl2InBiF.

Cell and atoms, written as extended XYZ:
```
5
Lattice="5.272 0.000 0.000 0.000 5.272 0.000 0.000 0.000 5.120" Properties=species:S:1:pos:R:3 pbc="T T T"
Tl 0.000 2.636 0.000
Tl 2.636 0.000 0.000
F 0.000 0.000 0.000
Bi 2.636 2.636 2.560
In 0.000 0.000 2.560
```

Values from the calculation:
**Size of the total moment**: 0.00 μB per formula unit
**Formation energy from raw total energies**: -577 meV per atom

## LiMg2Al2Pt5 (PBE-GGA)

Data for a relaxed structure of LiMg2Al2Pt5.

Cell and atoms, written as extended XYZ:
```
20
Lattice="3.597 0.000 0.000 0.000 9.412 0.000 0.000 0.000 9.412" Properties=species:S:1:pos:R:3 pbc="T T T"
Li 0.000 0.000 0.000
Li 0.000 4.706 4.706
Mg 0.000 6.306 1.600
Mg 0.000 3.106 7.811
Mg 0.000 1.600 3.106
Mg 0.000 7.811 6.306
Al 0.000 1.231 5.937
Al 0.000 8.181 3.475
Al 0.000 5.937 8.181
Al 0.000 3.475 1.231
Pt 1.799 1.850 0.691
Pt 1.799 7.561 8.720
Pt 1.799 0.691 7.561
Pt 1.799 6.556 4.014
Pt 1.799 8.720 1.850
Pt 1.799 2.856 5.397
Pt 1.799 5.397 6.556
Pt 1.799 4.014 2.856
Pt 1.799 4.706 0.000
Pt 1.799 0.000 4.706
```

Values from the calculation:
**Size of the total moment**: 0.00 μB per formula unit
**Energy of formation**: -770 meV/atom

## BeHgSb2 (PBE-GGA)

Data for a relaxed structure of BeHgSb2.

Cell and atoms, written as extended XYZ:
```
4
Lattice="-1.575 -4.705 1.460 4.409 -1.283 -2.379 1.725 0.355 3.006" Properties=species:S:1:pos:R:3 pbc="T T T"
Sb 0.000 0.000 0.000
Sb 1.417 -2.994 -0.459
Hg 3.067 -0.464 0.313
Be 0.075 -2.175 2.233
```

Values from the calculation:
**Size of the total moment**: 0.00 μB per formula unit
**Formation energy from raw total energies**: 599 meV per atom

## ScTcRu (PBE-GGA)

Data for a relaxed structure of ScTcRu.

Cell and atoms, written as extended XYZ:
```
3
Lattice="-3.575 2.300 0.503 -3.575 -1.882 1.414 -1.458 0.856 3.932" Properties=species:S:1:pos:R:3 pbc="T T T"
Ru -4.304 0.637 2.924
Sc -6.455 0.955 4.387
Tc 0.000 0.000 0.000
```

Values from the calculation:
**Size of the total moment**: 1.65 μB per formula unit
**Energy of formation**: 951 meV/atom